# 1
Computed, not measured: an optimized crystal structure of ZrPI2N at the PBE-GGA level of DFT.

As for the energy above the most stable polymorph in this dataset: 0.0 meV/atom. Its magnetic moment is 2.3 μB/cell. Its uncorrected formation energy is 1.932 eV per formula unit.

Cell lengths 5.9941, 5.9941, 4.0269 Å; angles 90.00, 90.00, 90.00 degrees
With the nearest neighbours (Å) after each atom.
Space group P4/mmm (No. 123)
One atom of each set of equivalent atoms:
Zr 0.0000 0.0000 0.0000 [1 per cell]  2 N 2.01
P 0.5000 0.5000 0.5000 [1 per cell]  8 I 3.61, 2 P 4.03
I 0.0000 0.5000 0.0000 [2 per cell]  2 Zr 3.00
N 0.0000 0.0000 0.5000 [1 per cell]  2 Zr 2.01


# 2
Computed, not measured: an optimized crystal structure of K2TeAs at the PBE-GGA level of DFT.

As for the energy above the most stable polymorph in this dataset: 302.7 meV/atom. Its magnetic moment is 0.0 μB/cell. Its uncorrected formation energy is -0.970 eV per formula unit.

Cell lengths 4.0727, 4.0727, 9.9209 Å; angles 90.00, 90.00, 90.00 degrees
With the nearest neighbours (Å) after each atom.
Space group P4mm (No. 99)
One atom of each set of equivalent atoms:
K 0.0000 0.0000 0.0000 [1 per cell]  1 Te 3.32
K 0.5000 0.5000 0.4157 [1 per cell]  1 As 3.23
Te 0.0000 0.0000 0.6656 [1 per cell]  4 As 2.98, 1 K 3.32
As 0.5000 0.5000 0.7412 [1 per cell]  4 Te 2.98, 1 K 3.23


# 3
Computed, not measured: an optimized crystal structure of AcErIn2Te4 at the PBE-GGA level of DFT.

Its magnetic moment is 0.0 μB/cell. Its uncorrected formation energy is -7.895 eV per formula unit.

Cell lengths 7.9679, 4.5761, 8.5205 Å; angles 90.00, 107.87, 90.00 degrees
With the nearest neighbours (Å) after each atom.
Space group P2/m (No. 10)
One atom of each set of equivalent atoms:
Ac 0.0000 0.0000 0.0000 [1 per cell]  6 Te 3.31
Er 0.5000 0.5000 0.0000 [1 per cell]  6 Te 3.11-3.13
In 0.0000 0.5000 0.5000 [1 per cell]  6 Te 3.55-3.56
In 0.5000 0.0000 0.5000 [1 per cell]  6 Te 3.38
Te 0.2631 0.5000 0.2296 [2 per cell]  1 Er 3.11, 2 Ac 3.31, 2 In 3.38
Te 0.2790 0.0000 0.7805 [2 per cell]  2 Er 3.13, 1 Ac 3.31, 1 In 3.38


# 4
Computed, not measured: an optimized crystal structure of Y2ThHg at the PBE-GGA level of DFT.

As for the energy above the most stable polymorph in this dataset: 83.9 meV/atom. Its magnetic moment is 0.0 μB/cell. As for the energy of formation: -0.178 eV per atom.

Cell lengths 3.6324, 3.6324, 31.4453 Å; angles 90.00, 90.00, 120.00 degrees
With the nearest neighbours (Å) after each atom.
Space group R-3m (No. 166, hexagonal axes)
One atom of each set of equivalent atoms:
Y 0.0000 0.0000 0.2430 [6 per cell]  3 Hg 3.19, 3 Th 3.53
Th 0.0000 0.0000 0.0000 [3 per cell]  6 Y 3.53, 6 Th 3.63
Hg 0.0000 0.0000 0.5000 [3 per cell]  6 Y 3.19


# 5
Computed, not measured: an optimized crystal structure of TmPuZnRu at the PBE-GGA level of DFT.

Its magnetic moment is 20.9 μB/cell. As for the energy of formation: -0.203 eV per atom.

Cell lengths 6.8952, 6.8952, 6.8952 Å; angles 90.00, 90.00, 90.00 degrees
With the nearest neighbours (Å) after each atom.
Space group F-43m (No. 216)
One atom of each set of equivalent atoms:
Tm 0.0000 0.0000 0.0000 [4 per cell]  4 Zn 2.99, 4 Ru 2.99
Pu 0.0000 0.0000 0.5000 [4 per cell]  4 Ru 2.99, 4 Zn 2.99
Zn 0.2500 0.2500 0.2500 [4 per cell]  4 Tm 2.99, 4 Pu 2.99
Ru 0.2500 0.2500 0.7500 [4 per cell]  4 Tm 2.99, 4 Pu 2.99


# 6
Computed, not measured: an optimized crystal structure of Rb2AcCeTe4 at the PBE-GGA level of DFT.

Its magnetic moment is 1.0 μB/cell. Its uncorrected formation energy is -11.256 eV per formula unit.

Cell lengths 8.3099, 4.7975, 8.9928 Å; angles 90.00, 107.91, 90.00 degrees
With the nearest neighbours (Å) after each atom.
Space group P2/m (No. 10)
One atom of each set of equivalent atoms:
Rb 0.0000 0.0000 0.0000 [1 per cell]  6 Te 3.77
Rb 0.5000 0.5000 0.0000 [1 per cell]  6 Te 3.69
Ac 0.0000 0.5000 0.5000 [1 per cell]  6 Te 3.34
Ce 0.5000 0.0000 0.5000 [1 per cell]  6 Te 3.24-3.25
Te 0.2456 0.0000 0.7108 [2 per cell]  1 Ce 3.24, 2 Ac 3.34
Te 0.2736 0.5000 0.2946 [2 per cell]  2 Ce 3.25, 1 Ac 3.34


# 7
Computed, not measured: an optimized crystal structure of AlCuOs2 at the PBE-GGA level of DFT.

Its magnetic moment is 0.0 μB/cell. As for the energy of formation: 0.031 eV per atom.

Cell lengths 8.8725, 2.7958, 4.5385 Å; angles 90.00, 99.86, 90.00 degrees
With the nearest neighbours (Å) after each atom.
Space group Cm (No. 8)
One atom of each set of equivalent atoms:
Al 0.0000 0.0000 0.0000 [2 per cell]  3 Cu 2.53-2.69, 7 Os 2.65-2.78, 2 Al 2.80
Cu 0.2539 0.5000 0.2124 [2 per cell]  3 Al 2.53-2.69, 7 Os 2.65-2.78, 2 Cu 2.80
Os 0.0074 0.5000 0.4989 [2 per cell]  5 Os 2.61-2.80, 4 Al 2.65-2.68, 3 Cu 2.73-2.78
Os 0.2508 0.0000 0.7079 [2 per cell]  5 Os 2.61-2.80, 4 Cu 2.65-2.68, 3 Al 2.76-2.78


# 8
Computed, not measured: an optimized crystal structure of La4ReSn at the PBE-GGA level of DFT.

Its magnetic moment is 0.0 μB/cell. As for the energy of formation: -0.281 eV per atom.

Cell lengths 9.0079, 14.1080, 6.3729 Å; angles 90.00, 110.31, 90.00 degrees
With the nearest neighbours (Å) after each atom.
Space group C2/c (No. 15)
One atom of each set of equivalent atoms:
La 0.1102 0.1693 0.0553 [8 per cell]  2 Re 3.01-3.03, 1 Sn 3.35
La 0.2172 0.4274 0.3692 [8 per cell]  2 Re 3.03-3.07, 1 Sn 3.33
Re 0.0000 0.0013 0.7500 [4 per cell]  8 La 3.01-3.07, 2 Re 3.19
Sn 0.0000 0.3757 0.7500 [4 per cell]  8 La 3.33-3.68


# 9
Computed, not measured: an optimized crystal structure of BeCdRh at the PBE-GGA level of DFT.

As for the energy above the most stable polymorph in this dataset: 0.0 meV/atom. Its magnetic moment is 0.0 μB/cell. As for the energy of formation: -0.279 eV per atom.

Cell lengths 2.9913, 2.9913, 9.6545 Å; angles 90.00, 90.00, 90.00 degrees
With the nearest neighbours (Å) after each atom.
Space group I4mm (No. 107)
One atom of each set of equivalent atoms:
Be 0.0000 0.0000 0.0000 [2 per cell]  4 Rh 2.28
Cd 0.0000 0.0000 0.7079 [2 per cell]  5 Be 2.82-2.92, 5 Rh 2.85-2.89, 4 Cd 2.99
Rh 0.0000 0.0000 0.4124 [2 per cell]  4 Be 2.28


# 10
Computed, not measured: an optimized crystal structure of KNaICl6 at the PBE-GGA level of DFT.

Its magnetic moment is 1.0 μB/cell. Its uncorrected formation energy is -7.684 eV per formula unit.

Cell lengths 6.9726, 6.9842, 7.0076 Å; angles 91.15, 91.24, 114.57 degrees
With the nearest neighbours (Å) after each atom.
Space group P1 (No. 1)
One atom of each set of equivalent atoms:
K 0.0000 0.0000 0.0000 [1 per cell]  6 Cl 3.10-3.37
Na 0.3057 0.6955 0.5005 [1 per cell]  6 Cl 2.70-2.97
I 0.6592 0.3412 0.5007 [1 per cell]  4 Cl 2.51-2.52
Cl 0.3662 0.3594 0.2966 [1 per cell]  1 I 2.52
Cl 0.3713 0.0092 0.7596 [1 per cell]  1 Na 2.70
Cl 0.6407 0.6332 0.7049 [1 per cell]  1 I 2.52
Cl 0.6469 0.0339 0.3001 [1 per cell]  1 I 2.51
Cl 0.9675 0.3541 0.7014 [1 per cell]  1 I 2.51
Cl 0.9907 0.6304 0.2423 [1 per cell]  1 Na 2.70


# 11
Computed, not measured: an optimized crystal structure of Y2ZrSe at the PBE-GGA level of DFT.

Its magnetic moment is 2.1 μB/cell. Its uncorrected formation energy is -2.583 eV per formula unit.

Cell lengths 3.6506, 3.6506, 28.0094 Å; angles 90.00, 90.00, 120.00 degrees
With the nearest neighbours (Å) after each atom.
Space group R3m (No. 160, hexagonal axes)
One atom of each set of equivalent atoms:
Y 0.0000 0.0000 0.0000 [3 per cell]  3 Zr 3.36, 9 Y 3.65-3.67
Y 0.0000 0.0000 0.2262 [3 per cell]  3 Se 2.89
Zr 0.0000 0.0000 0.7601 [3 per cell]  3 Se 2.74
Se 0.0000 0.0000 0.4892 [3 per cell]  3 Zr 2.74, 3 Y 2.89


# 12
Computed, not measured: an optimized crystal structure of Y2RhW at the PBE-GGA level of DFT.

As for the energy above the most stable polymorph in this dataset: 365.7 meV/atom. Its magnetic moment is 0.0 μB/cell. As for the energy of formation: 0.340 eV per atom.

Cell lengths 3.2807, 3.2807, 29.0878 Å; angles 90.00, 90.00, 120.00 degrees
With the nearest neighbours (Å) after each atom.
Space group R3m (No. 160, hexagonal axes)
One atom of each set of equivalent atoms:
Y 0.0000 0.0000 0.0000 [3 per cell]  3 Rh 2.97, 6 Y 3.28
Y 0.0000 0.0000 0.2229 [3 per cell]  3 W 3.08, 6 Y 3.28
Rh 0.0000 0.0000 0.7455 [3 per cell]  3 W 2.59
W 0.0000 0.0000 0.4729 [3 per cell]  3 Rh 2.59


# 13
Computed, not measured: an optimized crystal structure of AcGa4Sn at the PBE-GGA level of DFT.

As for the energy above the most stable polymorph in this dataset: 0.0 meV/atom. Its magnetic moment is 0.0 μB/cell. As for the energy of formation: -0.223 eV per atom.

Cell lengths 8.2391, 8.2391, 8.2391 Å; angles 90.00, 90.00, 90.00 degrees
With the nearest neighbours (Å) after each atom.
Space group F-43m (No. 216)
One atom of each set of equivalent atoms:
Ac 0.0000 0.0000 0.0000 [4 per cell]  12 Ga 3.42, 4 Sn 3.57
Ga 0.1242 0.1242 0.3758 [16 per cell]  6 Ga 2.89-2.93
Sn 0.2500 0.2500 0.7500 [4 per cell]  12 Ga 3.41, 4 Ac 3.57